[1]
Density functional theory data (PBE) for a relaxed structure of InGaSb2Mo.

Cell lengths 5.356, 4.961, 5.356 Å; angles 90.00, 90.00, 90.00 degrees
Fractional positions:
Sb  0.500  0.000  0.000
Mo  0.000  0.500  0.000
In  0.500  0.500  0.500
Ga  0.000  0.000  0.000
Sb  0.000  0.000  0.500

Computed properties:
Formation energy from raw total energies ... 4.65 eV per formula unit
Fermi-level density of states ... 3.541 states/eV/cell

***

[2]
Density functional theory data (PBE) for a relaxed structure of Ba2Hg6PtPb.

Cell lengths 8.133, 7.767, 10.024 Å; angles 90.00, 90.00, 90.00 degrees
Fractional positions:
Hg  0.174  0.997  0.500
Hg  0.674  0.003  0.000
Hg  0.500  0.203  0.249
Ba  0.500  0.737  0.284
Hg  0.183  0.610  0.000
Hg  0.683  0.390  0.500
Hg  0.000  0.797  0.251
Pt  0.000  0.948  0.000
Hg  0.317  0.390  0.500
Ba  0.000  0.263  0.216
Pb  0.500  0.415  0.000
Hg  0.826  0.997  0.500
Pb  0.000  0.585  0.500
Ba  0.500  0.737  0.716
Hg  0.326  0.003  0.000
Ba  0.000  0.263  0.784
Pt  0.500  0.052  0.500
Hg  0.000  0.797  0.749
Hg  0.817  0.610  0.000
Hg  0.500  0.203  0.751

Computed properties:
Fermi-level density of states ... 11.375 states/eV/cell
Formation energy ... -301 meV/atom

***

[3]
Density functional theory data (PBE) for a relaxed structure of Ac2ErZn9.

Cell lengths 5.625, 5.625, 9.536 Å; angles 72.85, 72.85, 60.00 degrees
Fractional positions:
Zn  0.334  0.334  0.997
Zn  0.500  0.500  0.500
Zn  0.578  0.578  0.770
Zn  0.926  0.422  0.230
Zn  0.074  0.578  0.770
Zn  0.422  0.422  0.230
Zn  0.666  0.666  0.003
Ac  0.140  0.140  0.581
Ac  0.860  0.860  0.419
Er  0.000  0.000  0.000
Zn  0.422  0.926  0.230
Zn  0.578  0.074  0.770

Computed properties:
Fermi-level density of states ... 5.136 states/eV/cell
Formation energy ... -207 meV/atom

***

[4]
Density functional theory data (PBE) for a relaxed structure of SrMnZn2.

Cell lengths 5.703, 5.703, 5.703 Å; angles 143.46, 125.32, 67.56 degrees
Fractional positions:
Sr  0.757  0.257  0.500
Zn  0.244  0.744  0.500
Zn  0.039  0.039  0.000
Mn  0.460  0.460  0.000

Computed properties:
Fermi-level density of states ... 2.434 states/eV/cell
Formation energy ... 274 meV/atom

***

[5]
Density functional theory data (PBE) for a relaxed structure of MnV8Ge2.

Cell lengths 4.197, 5.762, 6.913 Å; angles 109.54, 107.67, 90.00 degrees
Fractional positions:
V  0.606  0.405  0.212
Ge  0.806  0.331  0.613
V  0.166  0.183  0.332
V  0.011  0.734  0.022
V  0.989  0.266  0.978
Mn  0.500  0.000  0.000
V  0.394  0.595  0.788
V  0.834  0.817  0.668
Ge  0.194  0.669  0.387
V  0.654  0.909  0.307
V  0.346  0.091  0.693

Computed properties:
Fermi-level density of states ... 7.500 states/eV/cell
Formation energy ... -140 meV/atom

***

[6]
Density functional theory data (PBE) for a relaxed structure of FeTeCN2.

Cell lengths 3.676, 3.676, 4.437 Å; angles 90.00, 90.00, 90.00 degrees
Fractional positions:
Te  0.000  0.000  0.500
Fe  0.500  0.500  0.500
N  0.000  0.500  0.000
C  0.000  0.000  0.000
N  0.500  0.000  0.000

Computed properties:
Formation energy from raw total energies ... 11.96 eV per formula unit
Fermi-level density of states ... 5.481 states/eV/cell

***

[7]
Density functional theory data (PBE) for a relaxed structure of TcPOsS2.

Cell lengths 4.481, 4.481, 4.765 Å; angles 90.00, 90.00, 90.00 degrees
Fractional positions:
Os  0.500  0.500  0.500
Tc  0.000  0.000  0.000
S  0.000  0.500  0.000
S  0.500  0.000  0.000
P  0.000  0.000  0.500

Computed properties:
Formation energy from raw total energies ... 6.70 eV per formula unit
Fermi-level density of states ... 6.536 states/eV/cell

***

[8]
Density functional theory data (PBE) for a relaxed structure of Mg2AgBiH.

Cell lengths 4.735, 4.735, 4.195 Å; angles 90.00, 90.00, 90.00 degrees
Fractional positions:
Ag  0.000  0.000  0.500
H  0.000  0.000  0.000
Mg  0.500  0.000  0.000
Bi  0.500  0.500  0.500
Mg  0.000  0.500  0.000

Computed properties:
DFT total energy ... -13.27 eV/cell
Fermi-level density of states ... 1.017 states/eV/cell

***

[9]
Density functional theory data (PBE) for a relaxed structure of HgRu2Pt.

Cell lengths 4.901, 4.901, 4.901 Å; angles 132.19, 132.19, 69.93 degrees
Fractional positions:
Hg  0.500  0.500  0.000
Pt  0.750  0.250  0.500
Ru  0.000  0.000  0.000
Ru  0.250  0.750  0.500

Computed properties:
Fermi-level density of states ... 5.330 states/eV/cell
Formation energy ... 368 meV/atom

***

[10]
Density functional theory data (PBE) for a relaxed structure of Li2Mn2Pd.

Cell lengths 6.878, 6.878, 2.669 Å; angles 90.00, 90.00, 90.00 degrees
Fractional positions:
Li  0.195  0.305  0.000
Mn  0.402  0.098  0.500
Pd  0.000  0.000  0.000
Pd  0.500  0.500  0.000
Li  0.305  0.805  0.000
Mn  0.598  0.902  0.500
Mn  0.098  0.598  0.500
Mn  0.902  0.402  0.500
Li  0.805  0.695  0.000
Li  0.695  0.195  0.000

Computed properties:
Fermi-level density of states ... 8.154 states/eV/cell
Formation energy ... 459 meV/atom

***

[11]
Density functional theory data (PBE) for a relaxed structure of Hf3ZrCo2.

Cell lengths 3.943, 7.784, 8.677 Å; angles 119.58, 90.00, 104.67 degrees
Fractional positions:
Co  0.752  0.504  0.100
Hf  0.296  0.593  0.653
Hf  0.368  0.737  0.276
Hf  0.632  0.263  0.724
Hf  0.704  0.407  0.347
Hf  0.944  0.889  0.613
Co  0.491  0.981  0.844
Co  0.509  0.019  0.156
Zr  0.115  0.229  0.022
Zr  0.885  0.771  0.978
Hf  0.056  0.111  0.387
Co  0.248  0.496  0.900

Computed properties:
Fermi-level density of states ... 12.418 states/eV/cell
Formation energy ... -186 meV/atom

***

[12]
Density functional theory data (PBE) for a relaxed structure of AcPr12Tm3.

Cell lengths 5.214, 5.214, 20.862 Å; angles 90.00, 90.00, 90.00 degrees
Fractional positions:
Pr  0.000  0.500  0.377
Pr  0.000  0.500  0.623
Ac  0.000  0.000  0.000
Pr  0.500  0.500  0.744
Pr  0.500  0.000  0.132
Pr  0.500  0.500  0.000
Pr  0.500  0.500  0.256
Tm  0.000  0.000  0.500
Pr  0.000  0.500  0.132
Pr  0.500  0.000  0.868
Pr  0.500  0.500  0.500
Tm  0.000  0.000  0.746
Pr  0.500  0.000  0.377
Pr  0.000  0.500  0.868
Tm  0.000  0.000  0.254
Pr  0.500  0.000  0.623

Computed properties:
Fermi-level density of states ... 25.098 states/eV/cell
Formation energy ... 19 meV/atom

***

[13]
Density functional theory data (PBE) for a relaxed structure of BaBr3.

Cell lengths 6.669, 6.669, 6.669 Å; angles 138.88, 138.42, 59.91 degrees
Fractional positions:
Br  0.000  0.500  0.500
Br  0.251  0.251  0.000
Br  0.749  0.749  0.000
Ba  0.500  0.000  0.500

Computed properties:
Formation energy from raw total energies ... -5.61 eV per formula unit
Fermi-level density of states ... 3.204 states/eV/cell

***

[14]
Density functional theory data (PBE) for a relaxed structure of KMo4.

Cell lengths 5.018, 5.018, 5.018 Å; angles 109.47, 109.47, 109.47 degrees
Fractional positions:
Mo  0.000  0.000  0.500
Mo  0.500  0.500  0.500
Mo  0.000  0.500  0.000
K  0.000  0.000  0.000
Mo  0.500  0.000  0.000

Computed properties:
Fermi-level density of states ... 6.959 states/eV/cell
Formation energy ... 3044 meV/atom

***

[15]
Density functional theory data (PBE) for a relaxed structure of Hg12Te5Pb3.

Cell lengths 15.268, 15.268, 15.268 Å; angles 109.47, 109.47, 109.47 degrees
Fractional positions:
Hg  0.636  0.573  0.902
Hg  0.927  0.829  0.563
Hg  0.364  0.427  0.098
Te  0.375  0.250  0.125
Pb  0.125  0.875  0.750
Hg  0.829  0.927  0.063
Hg  0.563  0.329  0.927
Te  0.625  0.875  0.250
Hg  0.402  0.136  0.573
Pb  0.875  0.125  0.250
Te  0.750  0.125  0.875
Hg  0.766  0.437  0.364
Hg  0.073  0.171  0.437
Te  0.875  0.250  0.625
Hg  0.234  0.671  0.098
Hg  0.098  0.927  0.364
Pb  0.375  0.625  0.250
Pb  0.250  0.625  0.875
Hg  0.098  0.171  0.234
Hg  0.136  0.734  0.563
Hg  0.171  0.073  0.937
Hg  0.902  0.829  0.766
Hg  0.937  0.364  0.266
Pb  0.625  0.250  0.375
Hg  0.671  0.234  0.598
Te  0.500  0.000  0.500
Hg  0.136  0.402  0.073
Hg  0.902  0.073  0.636
Te  0.000  0.500  0.500
Hg  0.864  0.598  0.927
Hg  0.266  0.864  0.937
Hg  0.171  0.098  0.734
Hg  0.829  0.902  0.266
Hg  0.266  0.402  0.829
Pb  0.750  0.875  0.625
Pb  0.750  0.375  0.125
Te  0.000  0.500  0.000
Hg  0.927  0.098  0.864
Hg  0.734  0.598  0.171
Hg  0.437  0.766  0.864
Hg  0.073  0.902  0.136
Te  0.000  0.000  0.500
Te  0.375  0.125  0.750
Hg  0.864  0.266  0.437
Hg  0.937  0.573  0.171
Hg  0.598  0.734  0.671
Te  0.750  0.625  0.375
Pb  0.875  0.750  0.125
Hg  0.063  0.427  0.829
Hg  0.437  0.671  0.073
Pb  0.625  0.375  0.750
Hg  0.598  0.864  0.427
Hg  0.063  0.636  0.734
Hg  0.563  0.234  0.136
Hg  0.427  0.063  0.329
Pb  0.375  0.750  0.625
Te  0.500  0.500  0.500
Te  0.875  0.625  0.750
Hg  0.364  0.937  0.766
Te  0.125  0.750  0.375
Hg  0.573  0.636  0.402
Hg  0.766  0.329  0.902
Te  0.000  0.000  0.000
Hg  0.329  0.766  0.402
Te  0.125  0.375  0.250
Te  0.500  0.000  0.000
Te  0.625  0.750  0.875
Te  0.250  0.875  0.125
Te  0.250  0.375  0.625
Pb  0.250  0.125  0.375
Hg  0.734  0.136  0.063
Hg  0.427  0.364  0.598
Hg  0.402  0.266  0.329
Hg  0.234  0.563  0.636
Hg  0.636  0.063  0.234
Hg  0.671  0.437  0.573
Pb  0.125  0.250  0.875
Te  0.500  0.500  0.000
Hg  0.329  0.563  0.427
Hg  0.573  0.937  0.671

Computed properties:
Formation energy from raw total energies ... 1.32 eV per formula unit
Fermi-level density of states ... 44.278 states/eV/cell

***

[16]
Density functional theory data (PBE) for a relaxed structure of HgSN2F.

Cell lengths 3.426, 3.426, 6.420 Å; angles 90.00, 90.00, 90.00 degrees
Fractional positions:
F  0.000  0.000  0.500
N  0.500  0.000  0.000
S  0.000  0.000  0.000
N  0.000  0.500  0.000
Hg  0.500  0.500  0.500

Computed properties:
Formation energy from raw total energies ... 4.71 eV per formula unit
Fermi-level density of states ... 2.883 states/eV/cell

***

[17]
Density functional theory data (PBE) for a relaxed structure of PrEr3Ir.

Cell lengths 5.412, 5.412, 5.412 Å; angles 90.00, 90.00, 90.00 degrees
Fractional positions:
Ir  0.000  0.000  0.000
Er  0.500  0.000  0.000
Er  0.000  0.500  0.000
Er  0.000  0.000  0.500
Pr  0.500  0.500  0.500

Computed properties:
Fermi-level density of states ... 6.483 states/eV/cell
Formation energy ... -331 meV/atom

***

[18]
Density functional theory data (PBE) for a relaxed structure of LaPuZnRu.

Cell lengths 5.032, 5.032, 5.032 Å; angles 60.00, 60.00, 60.00 degrees
Fractional positions:
Ru  0.250  0.250  0.250
Zn  0.750  0.750  0.750
Pu  0.000  0.000  0.000
La  0.500  0.500  0.500

Computed properties:
Fermi-level density of states ... 10.614 states/eV/cell
Formation energy ... -98 meV/atom

***

[19]
Density functional theory data (PBE) for a relaxed structure of ZrReTe2.

Cell lengths 9.081, 9.081, 9.081 Å; angles 21.02, 21.02, 21.02 degrees
Fractional positions:
Re  0.750  0.750  0.750
Zr  0.250  0.250  0.250
Te  0.492  0.492  0.492
Te  0.008  0.008  0.008

Computed properties:
Formation energy from raw total energies ... 1.12 eV per formula unit
Fermi-level density of states ... 2.683 states/eV/cell

***

[20]
Density functional theory data (PBE) for a relaxed structure of CsK3Ge.

Cell lengths 6.784, 6.784, 6.784 Å; angles 90.00, 90.00, 90.00 degrees
Fractional positions:
K  0.500  0.000  0.000
K  0.000  0.000  0.500
Cs  0.500  0.500  0.500
Ge  0.000  0.000  0.000
K  0.000  0.500  0.000

Computed properties:
Fermi-level density of states ... 2.511 states/eV/cell
Formation energy ... 110 meV/atom

***

[21]
Density functional theory data (PBE) for a relaxed structure of PbAu3Br.

Cell lengths 5.392, 5.392, 5.392 Å; angles 90.00, 90.00, 90.00 degrees
Fractional positions:
Au  0.000  0.500  0.000
Br  0.500  0.500  0.500
Au  0.500  0.000  0.000
Au  0.000  0.000  0.500
Pb  0.000  0.000  0.000

Computed properties:
Formation energy from raw total energies ... 3.27 eV per formula unit
Fermi-level density of states ... 6.138 states/eV/cell

***

[22]
Density functional theory data (PBE) for a relaxed structure of Sc3TlV.

Cell lengths 4.946, 4.946, 4.946 Å; angles 90.00, 90.00, 90.00 degrees
Fractional positions:
Sc  0.000  0.000  0.500
Sc  0.500  0.000  0.000
Sc  0.000  0.500  0.000
Tl  0.500  0.500  0.500
V  0.000  0.000  0.000

Computed properties:
Fermi-level density of states ... 6.959 states/eV/cell
Formation energy ... 428 meV/atom